TbDyHoCd, optimized geometry, DFT PBE-GGA; relative energy among the computed polymorphs = 0.0000 eV/atom; magnetic moment = 0.0 Bohr magnetons per cell; crystal system = tetragonal; ΔH_f (0 K) = -0.14 eV per atom; DOS(E_F) = 4.664 states/eV/cell
1.0
3.577 0.000 0.000
0.000 3.577 0.000
0.000 0.000 9.052
Tb Dy Ho Cd
1 1 1 1
Cartesian
1.788 1.788 7.238
0.000 0.000 0.659
1.788 1.788 3.110
0.000 0.000 5.148